Entry 1:
# LaHoGa6 | OQMD via LeMat-Bulk | PBE | optimized geometry
data_LaHoGa6
_space_group_name_H-M_alt 'P -6 m 2'
_space_group_IT_number 187
_space_group_name_Hall 'P -6 2'
_cell_length_a 6.4319
_cell_length_b 6.4319
_cell_length_c 4.5660
_cell_angle_alpha 90.00
_cell_angle_beta 90.00
_cell_angle_gamma 120.00
loop_
_atom_site_label
_atom_site_type_symbol
_atom_site_fract_x
_atom_site_fract_y
_atom_site_fract_z
_atom_site_occupancy
La1 La 0.0000 0.0000 0.0000 1
Ho1 Ho 0.3333 0.6667 0.5000 1
Ga1 Ga 0.3816 0.1908 0.5000 1
Ga2 Ga 0.5192 0.0384 0.0000 1
# Total DFT energy (no corrections) (eV per atom): -4.012
# Magnetic moment (μB per cell): 0.0
# Crystal system: hexagonal

---

Entry 2:
# MgFeNiGe | OQMD via LeMat-Bulk | PBE | optimized geometry
data_MgFeNiGe
_space_group_name_H-M_alt 'F -4 3 m'
_space_group_IT_number 216
_space_group_name_Hall 'F -4 2 3'
_cell_length_a 5.9248
_cell_length_b 5.9248
_cell_length_c 5.9248
_cell_angle_alpha 90.00
_cell_angle_beta 90.00
_cell_angle_gamma 90.00
loop_
_atom_site_label
_atom_site_type_symbol
_atom_site_fract_x
_atom_site_fract_y
_atom_site_fract_z
_atom_site_occupancy
Mg1 Mg 0.0000 0.0000 0.0000 1
Fe1 Fe 0.0000 0.0000 0.5000 1
Ni1 Ni 0.2500 0.2500 0.7500 1
Ge1 Ge 0.2500 0.2500 0.2500 1
# Total DFT energy (no corrections) (eV per atom): -4.974
# Magnetic moment (μB per cell): 9.4
# Crystal system: cubic

---

Entry 3:
# Dy3Y3ReTe2 | OQMD via LeMat-Bulk | PBE | optimized geometry
data_Dy3Y3ReTe2
_space_group_name_H-M_alt 'P -6 2 m'
_space_group_IT_number 189
_space_group_name_Hall 'P -6 -2'
_cell_length_a 8.2792
_cell_length_b 8.2792
_cell_length_c 4.1449
_cell_angle_alpha 90.00
_cell_angle_beta 90.00
_cell_angle_gamma 120.00
loop_
_atom_site_label
_atom_site_type_symbol
_atom_site_fract_x
_atom_site_fract_y
_atom_site_fract_z
_atom_site_occupancy
Dy1 Dy 0.0000 0.6099 0.0000 1
Y1 Y 0.0000 0.2395 0.5000 1
Re1 Re 0.0000 0.0000 0.0000 1
Te1 Te 0.3333 0.6667 0.5000 1
# Total DFT energy (no corrections) (eV per atom): -6.382
# Magnetic moment (μB per cell): 0.1
# Crystal system: hexagonal

---

Entry 4:
# ErBeSi | OQMD via LeMat-Bulk | PBE | optimized geometry
data_ErBeSi
_space_group_name_H-M_alt 'F -4 3 m'
_space_group_IT_number 216
_space_group_name_Hall 'F -4 2 3'
_cell_length_a 6.3666
_cell_length_b 6.3666
_cell_length_c 6.3666
_cell_angle_alpha 90.00
_cell_angle_beta 90.00
_cell_angle_gamma 90.00
loop_
_atom_site_label
_atom_site_type_symbol
_atom_site_fract_x
_atom_site_fract_y
_atom_site_fract_z
_atom_site_occupancy
Er1 Er 0.0000 0.0000 0.0000 1
Be1 Be 0.2500 0.2500 0.7500 1
Si1 Si 0.2500 0.2500 0.2500 1
# Total DFT energy (no corrections) (eV per atom): -4.131
# Magnetic moment (μB per cell): 0.0
# Crystal system: cubic

---

Entry 5:
# Gd3Mg2CdGa2Pt | OQMD via LeMat-Bulk | PBE | optimized geometry
data_Gd3Mg2CdGa2Pt
_space_group_name_H-M_alt 'A m m 2'
_space_group_IT_number 38
_cell_length_a 4.3683
_cell_length_b 12.6621
_cell_length_c 7.3734
_cell_angle_alpha 90.00
_cell_angle_beta 90.00
_cell_angle_gamma 90.00
loop_
_space_group_symop_operation_xyz
'x,y,z'
'-x,-y,z'
'-x,y,z'
'x,-y,z'
'x,y+1/2,z+1/2'
'-x,-y+1/2,z+1/2'
'-x,y+1/2,z+1/2'
'x,-y+1/2,z+1/2'
loop_
_atom_site_label
_atom_site_type_symbol
_atom_site_fract_x
_atom_site_fract_y
_atom_site_fract_z
_atom_site_occupancy
Gd1 Gd 0.0000 0.0000 0.0000 1
Gd2 Gd 0.0000 0.2038 0.6188 1
Mg1 Mg 0.5000 0.1184 0.2956 1
Cd1 Cd 0.5000 0.0000 0.6613 1
Ga1 Ga 0.5000 0.1694 0.9166 1
Pt1 Pt 0.0000 0.0000 0.3997 1
# Total DFT energy (no corrections) (eV per atom): -3.997
# Magnetic moment (μB per cell): 0.0
# Crystal system: orthorhombic

---

Entry 6:
# SmAlIr | OQMD via LeMat-Bulk | PBE | optimized geometry
data_SmAlIr
_space_group_name_H-M_alt 'F -4 3 m'
_space_group_IT_number 216
_space_group_name_Hall 'F -4 2 3'
_cell_length_a 6.5122
_cell_length_b 6.5122
_cell_length_c 6.5122
_cell_angle_alpha 90.00
_cell_angle_beta 90.00
_cell_angle_gamma 90.00
loop_
_atom_site_label
_atom_site_type_symbol
_atom_site_fract_x
_atom_site_fract_y
_atom_site_fract_z
_atom_site_occupancy
Sm1 Sm 0.0000 0.0000 0.0000 1
Al1 Al 0.0000 0.0000 0.5000 1
Ir1 Ir 0.2500 0.2500 0.7500 1
# Total DFT energy (no corrections) (eV per atom): -6.322
# Magnetic moment (μB per cell): 0.0
# Crystal system: cubic

---

Entry 7:
# K2AgH6Au | OQMD via LeMat-Bulk | PBE | optimized geometry
data_K2AgH6Au
_space_group_name_H-M_alt 'I 4/m m m'
_space_group_IT_number 139
_space_group_name_Hall '-I 4 2'
_cell_length_a 5.6410
_cell_length_b 5.6410
_cell_length_c 8.6832
_cell_angle_alpha 90.00
_cell_angle_beta 90.00
_cell_angle_gamma 90.00
loop_
_atom_site_label
_atom_site_type_symbol
_atom_site_fract_x
_atom_site_fract_y
_atom_site_fract_z
_atom_site_occupancy
K1 K 0.0000 0.5000 0.2500 1
Ag1 Ag 0.0000 0.0000 0.0000 1
H1 H 0.0000 0.0000 0.2003 1
H2 H 0.2113 0.2113 0.5000 1
Au1 Au 0.0000 0.0000 0.5000 1
# Total DFT energy (no corrections) (eV per atom): -2.969
# Crystal system: tetragonal

---

Entry 8:
# GdAgTe2PbSe | OQMD via LeMat-Bulk | PBE | optimized geometry
data_GdAgTe2PbSe
_space_group_name_H-M_alt 'C m c m'
_space_group_IT_number 63
_space_group_name_Hall '-C 2c 2'
_cell_length_a 4.3603
_cell_length_b 14.7033
_cell_length_c 10.7427
_cell_angle_alpha 90.00
_cell_angle_beta 90.00
_cell_angle_gamma 90.00
loop_
_atom_site_label
_atom_site_type_symbol
_atom_site_fract_x
_atom_site_fract_y
_atom_site_fract_z
_atom_site_occupancy
Gd1 Gd 0.0000 0.0000 0.0000 1
Ag1 Ag 0.0000 0.4762 0.2500 1
Te1 Te 0.0000 0.3511 0.0547 1
Pb1 Pb 0.0000 0.2553 0.7500 1
Se1 Se 0.0000 0.0841 0.2500 1
# Total DFT energy (no corrections) (eV per atom): -4.301
# Magnetic moment (μB per cell): 0.0
# Crystal system: orthorhombic